(1)
# PBE Er6P5S, relaxed
# * density: 7.54 Mg/m³
# * calculated total energy: -79.26 eV per cell
# * formation energy (no corrections): -1725 meV per atom
# * Fermi-level density of states: 0.20 states/eV per atom
data_Er6P5S
_space_group_name_H-M_alt 'P 1'
_space_group_IT_number 1
_cell_length_a 6.8489
_cell_length_b 6.8467
_cell_length_c 6.8443
_cell_angle_alpha 59.99
_cell_angle_beta 80.41
_cell_angle_gamma 70.55
loop_
_space_group_symop_operation_xyz
'x,y,z'
loop_
_atom_site_label
_atom_site_type_symbol
_atom_site_fract_x
_atom_site_fract_y
_atom_site_fract_z
_atom_site_occupancy
S1 S 0.0000 0.0000 0.0000 1
P1 P 0.5000 0.1656 0.6689 1
P2 P 0.5000 0.8344 0.3311 1
P3 P 0.5000 0.5000 0.0000 1
P4 P 0.0000 0.3331 0.3339 1
P5 P 0.0000 0.6669 0.6661 1
Er1 Er 0.2527 0.2530 0.0000 1
Er2 Er 0.7476 0.4213 0.6629 1
Er3 Er 0.2524 0.9158 0.6629 1
Er4 Er 0.2524 0.5787 0.3371 1
Er5 Er 0.7476 0.0842 0.3371 1
Er6 Er 0.7473 0.7470 0.0000 1

(2)
# PBE GaReSb3, relaxed
# * density: 7.24 Mg/m³
# * calculated total energy: -24.54 eV per cell
# * excess energy over the best structure of this formula in the dataset: 0 meV/atom
# * formation energy (no corrections): 661 meV per atom
# * Fermi-level density of states: 1.31 states/eV per atom
data_GaReSb3
_space_group_name_H-M_alt 'P 1'
_space_group_IT_number 1
_cell_length_a 5.2238
_cell_length_b 5.2238
_cell_length_c 5.2238
_cell_angle_alpha 90.00
_cell_angle_beta 90.00
_cell_angle_gamma 90.00
loop_
_space_group_symop_operation_xyz
'x,y,z'
loop_
_atom_site_label
_atom_site_type_symbol
_atom_site_fract_x
_atom_site_fract_y
_atom_site_fract_z
_atom_site_occupancy
Re1 Re 0.0000 0.0000 0.0000 1
Ga1 Ga 0.5000 0.5000 0.5000 1
Sb1 Sb 0.5000 0.0000 0.0000 1
Sb2 Sb 0.0000 0.0000 0.5000 1
Sb3 Sb 0.0000 0.5000 0.0000 1

Size of the total moment, respectively: 0.00; 0.00 μB/f.u..